Record 1
This record from the Alexandria database describes an optimized crystal structure of NaSc2Bi2. The functional is PBE.

a b c (Å): 8.4485 8.4485 3.8098
angles (deg): 90.00 90.00 90.00
Last column: nearest neighbours and their distance in Å.
Fractional positions:
Sc 0.1362 0.6362 0.5000  6 Bi 3.10-3.15, 1 Sc 3.25
Sc 0.6362 0.8638 0.5000  6 Bi 3.10-3.15, 1 Sc 3.25
Sc 0.8638 0.3638 0.5000  6 Bi 3.10-3.15, 1 Sc 3.25
Sc 0.3638 0.1362 0.5000  6 Bi 3.10-3.15, 1 Sc 3.25
Na 0.0000 0.0000 0.0000  4 Bi 3.18
Na 0.5000 0.5000 0.0000  4 Bi 3.18
Bi 0.3403 0.8403 0.0000  6 Sc 3.10-3.15, 2 Na 3.18
Bi 0.8403 0.6597 0.0000  6 Sc 3.10-3.15, 2 Na 3.18
Bi 0.6597 0.1597 0.0000  6 Sc 3.10-3.15, 2 Na 3.18
Bi 0.1597 0.3403 0.0000  6 Sc 3.10-3.15, 2 Na 3.18

Computed properties:
The calculation puts the formation energy at -0.44 eV per atom. The calculation puts the relative energy among the computed polymorphs at 0 meV per atom.


Record 2
This record from the Alexandria database describes an optimized crystal structure of NaSc3Bi. The functional is PBE.

a b c (Å): 5.1606 5.1606 5.1606
angles (deg): 90.00 90.00 90.00
Last column: nearest neighbours and their distance in Å.
Fractional positions:
Sc 0.0000 0.5000 0.0000  2 Na 2.58
Sc 0.0000 0.0000 0.5000  2 Na 2.58
Sc 0.5000 0.0000 0.0000  2 Na 2.58
Na 0.0000 0.0000 0.0000  6 Sc 2.58
Bi 0.5000 0.5000 0.5000  12 Sc 3.65

Computed properties:
The calculation puts the formation energy at 0.73 eV per atom. The calculation puts the relative energy among the computed polymorphs at 305 meV per atom.


Record 3
This record from the Alexandria database describes an optimized crystal structure of NaScBi2. The functional is PBE.

a b c (Å): 5.7990 5.7990 10.1951
angles (deg): 73.48 73.48 90.00
Last column: nearest neighbours and their distance in Å.
Fractional positions:
Sc 0.0000 0.0000 0.0000  4 Bi 2.87
Sc 0.7500 0.2500 0.5000  4 Bi 2.87
Na 0.5000 0.5000 0.0000  4 Bi 3.44
Na 0.2500 0.7500 0.5000  4 Bi 3.44
Bi 0.7331 0.1250 0.2500  2 Sc 2.87
Bi 0.0169 0.6250 0.2500  2 Sc 2.87
Bi 0.3750 0.2669 0.7500  2 Sc 2.87
Bi 0.8750 0.9831 0.7500  2 Sc 2.87

Computed properties:
The calculation puts the formation energy at -0.08 eV per atom. The calculation puts the relative energy among the computed polymorphs at 340 meV per atom.


Record 4
This record from the Alexandria database describes an optimized crystal structure of NaSc2Bi2. The functional is PBE.

a b c (Å): 4.8521 4.8521 7.6719
angles (deg): 71.57 71.57 90.00
Last column: nearest neighbours and their distance in Å.
Fractional positions:
Sc 0.3866 0.3866 0.2268  4 Bi 3.07, 1 Sc 3.11
Sc 0.6134 0.6134 0.7732  4 Bi 3.07, 1 Sc 3.11
Na 0.0000 0.0000 0.0000  8 Sc 3.77, 8 Bi 4.20
Bi 0.7500 0.2500 0.5000  4 Sc 3.07, 4 Bi 3.43
Bi 0.2500 0.7500 0.5000  4 Sc 3.07, 4 Bi 3.43

Computed properties:
The calculation puts the formation energy at 0.03 eV per atom. The calculation puts the relative energy among the computed polymorphs at 461 meV per atom.


Record 5
This record from the Alexandria database describes an optimized crystal structure of NaSc3Bi. The functional is PBE.

a b c (Å): 5.5917 5.5917 5.5917
angles (deg): 90.00 90.00 90.00
Last column: nearest neighbours and their distance in Å.
Fractional positions:
Sc 0.0000 0.5000 0.0000  2 Bi 2.80
Sc 0.0000 0.0000 0.5000  2 Bi 2.80
Sc 0.5000 0.0000 0.0000  2 Bi 2.80
Na 0.5000 0.5000 0.5000  12 Sc 3.95
Bi 0.0000 0.0000 0.0000  6 Sc 2.80

Computed properties:
The calculation puts the formation energy at 0.42 eV per atom. The calculation puts the relative energy among the computed polymorphs at 0 meV per atom.


Record 6
This record from the Alexandria database describes an optimized crystal structure of Na3ScBi. The functional is PBE.

a b c (Å): 5.9180 5.9180 5.9180
angles (deg): 90.00 90.00 90.00
Last column: nearest neighbours and their distance in Å.
Fractional positions:
Sc 0.5000 0.5000 0.5000  12 Na 4.18
Na 0.0000 0.5000 0.0000  2 Bi 2.96
Na 0.0000 0.0000 0.5000  2 Bi 2.96
Na 0.5000 0.0000 0.0000  2 Bi 2.96
Bi 0.0000 0.0000 0.0000  6 Na 2.96

Computed properties:
The calculation puts the formation energy at 0.43 eV per atom. The calculation puts the relative energy among the computed polymorphs at 0 meV per atom.


Record 7
This record from the Alexandria database describes an optimized crystal structure of Na4Sc3BiSe8. The functional is PBE.

a b c (Å): 8.0614 8.3907 8.0616
angles (deg): 118.73 120.00 90.00
Last column: nearest neighbours and their distance in Å.
Fractional positions:
Na 0.5000 0.0000 0.0000  6 Se 2.94
Na 0.5000 0.0000 0.5000  6 Se 3.06-3.07
Na 0.0000 0.0000 0.0000  6 Se 3.05-3.07
Na 0.0000 0.0000 0.5000  6 Se 3.06-3.07
Sc 0.5000 0.5000 0.0000  6 Se 2.76-2.77
Sc 0.5000 0.5000 0.5000  6 Se 2.76-2.77
Sc 0.0000 0.5000 0.5000  6 Se 2.76-2.77
Bi 0.0000 0.5000 0.0000  6 Se 2.90
Se 0.2494 0.7234 0.9741  2 Sc 2.76, 1 Bi 2.90, 3 Na 2.94-3.07
Se 0.2494 0.7233 0.4988  2 Sc 2.76, 1 Bi 2.90, 3 Na 2.94-3.07
Se 0.2612 0.2837 0.5224  3 Sc 2.77, 3 Na 3.05-3.06
Se 0.7247 0.7234 0.9741  2 Sc 2.76, 1 Bi 2.90, 3 Na 2.94-3.07
Se 0.2753 0.2766 0.0259  2 Sc 2.76, 1 Bi 2.90, 3 Na 2.94-3.07
Se 0.7388 0.7163 0.4776  3 Sc 2.77, 3 Na 3.05-3.06
Se 0.7506 0.2767 0.5012  2 Sc 2.76, 1 Bi 2.90, 3 Na 2.94-3.07
Se 0.7506 0.2766 0.0259  2 Sc 2.76, 1 Bi 2.90, 3 Na 2.94-3.07

Computed properties:
The formation energy without anion corrections is -1.36 eV/atom.


Record 8
This record from the Alexandria database describes an optimized crystal structure of Na2ScBiSe4. The functional is PBE.

a b c (Å): 4.0847 7.1515 7.4027
angles (deg): 108.54 90.00 90.00
Last column: nearest neighbours and their distance in Å.
Fractional positions:
Na 0.5000 0.0000 0.5000  6 Se 3.12-3.14
Na 0.0000 0.5000 0.5000  6 Se 2.98-3.00
Sc 0.5000 0.5000 0.0000  6 Se 2.76-2.78
Bi 0.0000 0.0000 0.0000  6 Se 2.93
Se 0.5000 0.2631 0.2310  1 Sc 2.76, 2 Bi 2.93, 2 Na 2.98
Se 0.5000 0.7369 0.7690  1 Sc 2.76, 2 Bi 2.93, 2 Na 2.98
Se 0.0000 0.2751 0.7794  2 Sc 2.78, 1 Bi 2.93, 1 Na 3.00
Se 0.0000 0.7249 0.2206  2 Sc 2.78, 1 Bi 2.93, 1 Na 3.00

Computed properties:
The formation energy without anion corrections is -1.15 eV/atom.


Record 9
This record from the Alexandria database describes an optimized crystal structure of Na3ScBi2Se6. The functional is PBE.

a b c (Å): 7.1997 7.1997 7.4298
angles (deg): 99.35 99.35 120.07
Last column: nearest neighbours and their distance in Å.
Fractional positions:
Na 0.1751 0.8249 0.5000  6 Se 3.02-3.10
Na 0.8249 0.1751 0.5000  6 Se 3.02-3.10
Na 0.5000 0.5000 0.5000  6 Se 3.01-3.18
Sc 0.0000 0.0000 0.0000  6 Se 2.77
Bi 0.3347 0.6653 0.0000  6 Se 2.94-2.96
Bi 0.6653 0.3347 0.0000  6 Se 2.94-2.96
Se 0.9235 0.6099 0.7707  1 Sc 2.77, 2 Bi 2.95-2.96, 3 Na 3.01-3.10
Se 0.7639 0.7639 0.2302  1 Sc 2.77, 2 Bi 2.94, 2 Na 3.08
Se 0.0765 0.3901 0.2293  1 Sc 2.77, 2 Bi 2.95-2.96, 3 Na 3.01-3.10
Se 0.6099 0.9235 0.7707  1 Sc 2.77, 2 Bi 2.95-2.96, 3 Na 3.01-3.10
Se 0.2361 0.2361 0.7698  1 Sc 2.77, 2 Bi 2.94, 2 Na 3.08
Se 0.3901 0.0765 0.2293  1 Sc 2.77, 2 Bi 2.95-2.96, 3 Na 3.01-3.10

Computed properties:
The formation energy without anion corrections is -1.02 eV/atom.


Record 10
This record from the Alexandria database describes an optimized crystal structure of Na3Sc2BiSe6. The functional is PBE.

a b c (Å): 7.0258 7.0258 7.3731
angles (deg): 99.20 99.20 120.05
Last column: nearest neighbours and their distance in Å.
Fractional positions:
Na 0.1600 0.8400 0.5000  6 Se 2.98-3.10
Na 0.8400 0.1600 0.5000  6 Se 2.98-3.10
Na 0.5000 0.5000 0.5000  6 Se 2.94-3.09
Sc 0.3321 0.6679 0.0000  6 Se 2.75-2.77
Sc 0.6679 0.3321 0.0000  6 Se 2.75-2.77
Bi 0.0000 0.0000 0.0000  6 Se 2.93
Se 0.9249 0.5725 0.7766  2 Sc 2.75-2.76, 1 Bi 2.93, 1 Na 2.98
Se 0.7218 0.7218 0.2226  2 Sc 2.77, 1 Bi 2.93, 3 Na 2.94-3.04
Se 0.0751 0.4275 0.2234  2 Sc 2.75-2.76, 1 Bi 2.93, 1 Na 2.98
Se 0.5725 0.9249 0.7766  2 Sc 2.75-2.76, 1 Bi 2.93, 1 Na 2.98
Se 0.2782 0.2782 0.7774  2 Sc 2.77, 1 Bi 2.93, 3 Na 2.94-3.04
Se 0.4275 0.0751 0.2234  2 Sc 2.75-2.76, 1 Bi 2.93, 1 Na 2.98

Computed properties:
The formation energy without anion corrections is -1.29 eV/atom.